Entry from Alexandria: a relaxed structure of AcEuNiSn (PBE).

Output
The calculation puts the raw total energy at -6.33 eV per atom. Its formation energy from the elements is -27.4 kJ/mol of atoms. Its theoretical density is 8.01 g cm⁻³. The calculation puts the density of states at the Fermi level at 3.162 states/eV/atom.

```
data_AcEuNiSn
_chemical_formula_sum 'Ac4 Eu4 Ni4 Sn4'
_cell_length_a 7.7257
_cell_length_b 7.7257
_cell_length_c 7.7257
_cell_angle_alpha 90.00
_cell_angle_beta 90.00
_cell_angle_gamma 90.00
_symmetry_space_group_name_H-M 'F -4 3 m'
_symmetry_Int_Tables_number 216
_symmetry_space_group_name_Hall 'F -4 2 3'
loop_
_atom_site_label
_atom_site_type_symbol
_atom_site_fract_x
_atom_site_fract_y
_atom_site_fract_z
_atom_site_occupancy
Ac1 Ac 0.0000 0.0000 0.0000 1
Eu1 Eu 0.0000 0.0000 0.5000 1
Ni1 Ni 0.2500 0.2500 0.7500 1
Sn1 Sn 0.2500 0.2500 0.2500 1
```


Entry from Alexandria: a relaxed structure of Li2MnN (PBE).

Output
For the energy relative to the elements, uncorrected, the calculation gives -273 meV per atom. The calculation puts the raw total energy at -5.60 eV per atom. Its theoretical density is 3.00 g cm⁻³. The calculation puts the density of states at the Fermi level at 0.462 states/eV/atom.

```
data_Li2MnN
_chemical_formula_sum 'Li2 Mn1 N1'
_cell_length_a 3.7478
_cell_length_b 3.7478
_cell_length_c 3.7701
_cell_angle_alpha 90.00
_cell_angle_beta 90.00
_cell_angle_gamma 120.00
_symmetry_space_group_name_H-M 'P 6/m m m'
_symmetry_Int_Tables_number 191
_symmetry_space_group_name_Hall '-P 6 2'
loop_
_atom_site_label
_atom_site_type_symbol
_atom_site_fract_x
_atom_site_fract_y
_atom_site_fract_z
_atom_site_occupancy
Li1 Li 0.3333 0.6667 0.0000 1
Mn1 Mn 0.0000 0.0000 0.5000 1
N1 N 0.0000 0.0000 0.0000 1
```


Entry from Alexandria: a relaxed structure of Sr4BiSbS (PBE).

Output
For the energy relative to the elements, uncorrected, the calculation gives -1223 meV per atom. The calculation puts the raw total energy at -3.92 eV per atom. Its theoretical density is 4.46 g cm⁻³.

```
data_Sr4BiSbS
_chemical_formula_sum 'Sr16 Bi4 Sb4 S4'
_cell_length_a 7.7954
_cell_length_b 17.4868
_cell_length_c 7.7993
_cell_angle_alpha 90.00
_cell_angle_beta 90.00
_cell_angle_gamma 90.00
_symmetry_space_group_name_H-M 'C m c m'
_symmetry_Int_Tables_number 63
_symmetry_space_group_name_Hall '-C 2c 2'
loop_
_atom_site_label
_atom_site_type_symbol
_atom_site_fract_x
_atom_site_fract_y
_atom_site_fract_z
_atom_site_occupancy
Sr1 Sr 0.0000 0.0716 0.2500 1
Sr2 Sr 0.0000 0.4246 0.2500 1
Sr3 Sr 0.2500 0.2500 0.0000 1
Bi1 Bi 0.0000 0.3849 0.7500 1
Sb1 Sb 0.0000 0.1176 0.7500 1
S1 S 0.0000 0.2484 0.2500 1
```